[1]
This record from Alexandria describes a relaxed LaNdSm2Dy2 crystal. The functional is PBE.

a b c (Å): 6.6331 18.2483 3.4291
angles (deg): 90.00 90.00 90.00
Space group Pnnm (No. 58)
Inequivalent atoms, fractional coordinates:
1 La 0.0000 0.0000 0.0000
2 Nd 0.0000 0.5000 0.0000
3 Sm 0.2199 0.1879 0.0000
4 Dy 0.2177 0.3514 0.5000

magnetization	0.000	μB per atom
energy relative to the elements	25	kJ per mole of atoms
DOS(E_F)	21.6	states/eV/cell

***

[2]
This record from Alexandria describes a relaxed La2Nd4SmDy crystal. The functional is PBE.

a b c (Å): 5.1832 5.1959 10.4338
angles (deg): 90.00 90.14 90.00
Space group P2/m (No. 10)
Inequivalent atoms, fractional coordinates:
1 La 0.0000 0.0000 0.0000
2 La 0.5000 0.5000 0.5000
3 Nd 0.0000 0.5000 0.2509
4 Nd 0.4993 0.0000 0.7485
5 Sm 0.5000 0.5000 0.0000
6 Dy 0.0000 0.0000 0.5000

magnetization	0.000	μB per atom
energy relative to the elements	2	kJ per mole of atoms
DOS(E_F)	13.6	states/eV/cell

***

[3]
This record from Alexandria describes a relaxed LaNd2SmDy2 crystal. The functional is PBE.

a b c (Å): 6.6331 18.3768 3.4331
angles (deg): 90.00 90.00 90.00
Space group Pnnm (No. 58)
Inequivalent atoms, fractional coordinates:
1 La 0.0000 0.0000 0.0000
2 Nd 0.2164 0.1889 0.0000
3 Sm 0.0000 0.5000 0.0000
4 Dy 0.2139 0.3532 0.5000

magnetization	0.000	μB per atom
energy relative to the elements	24	kJ per mole of atoms
DOS(E_F)	22.1	states/eV/cell

***

[4]
This record from Alexandria describes a relaxed LaNd3Sm6Dy2 crystal. The functional is PBE.

a b c (Å): 6.3039 10.9147 12.0889
angles (deg): 90.00 100.03 90.00
Space group C2/m (No. 12)
Inequivalent atoms, fractional coordinates:
1 La 0.0000 0.0000 0.0000
2 Nd 0.0000 0.1671 0.5000
3 Nd 0.0000 0.5000 0.5000
4 Sm 0.2493 0.3327 0.7514
5 Sm 0.2488 0.5000 0.2488
6 Dy 0.0000 0.3334 0.0000

magnetization	0.000	μB per atom
energy relative to the elements	2	kJ per mole of atoms
DOS(E_F)	35.5	states/eV/cell

***

[5]
This record from Alexandria describes a relaxed LaNd4Sm2Dy2 crystal. The functional is PBE.

a b c (Å): 15.4782 5.1633 8.1474
angles (deg): 90.00 108.44 90.00
Space group C2/m (No. 12)
Inequivalent atoms, fractional coordinates:
1 La 0.0000 0.0000 0.0000
2 Nd 0.0554 0.5000 0.3331
3 Nd 0.2225 0.0000 0.3308
4 Sm 0.1115 0.0000 0.6668
5 Dy 0.1686 0.5000 0.9987

magnetization	0.000	μB per atom
energy relative to the elements	2	kJ per mole of atoms
DOS(E_F)	28.5	states/eV/cell

***

[6]
This record from Alexandria describes a relaxed La4Nd2SmDy2 crystal. The functional is PBE.

a b c (Å): 15.6031 5.2238 8.1717
angles (deg): 90.00 108.48 90.00
Space group C2/m (No. 12)
Inequivalent atoms, fractional coordinates:
1 La 0.0545 0.0000 0.3289
2 La 0.2231 0.5000 0.3305
3 Nd 0.1122 0.5000 0.6704
4 Sm 0.0000 0.5000 0.0000
5 Dy 0.1676 0.0000 0.9996

magnetization	0.000	μB per atom
energy relative to the elements	2	kJ per mole of atoms
DOS(E_F)	33.2	states/eV/cell